# ThSI2, optimized geometry, DFT GGA-PBE
data_ThSI2
_cell_length_a 9.293
_cell_length_b 4.141
_cell_length_c 9.000
_cell_angle_alpha 90.00
_cell_angle_beta 107.38
_cell_angle_gamma 90.00
_space_group_name_H-M_alt 'C 1 m 1'
_space_group_IT_number 8
loop_
_space_group_symop_operation_xyz
'x,y,z'
'x,-y,z'
'x+1/2,y+1/2,z'
'x+1/2,-y+1/2,z'
loop_
_atom_site_label
_atom_site_type_symbol
_atom_site_fract_x
_atom_site_fract_y
_atom_site_fract_z
Th1 Th 0.000 0.000 0.000
S1 S 0.198 0.500 0.000
I1 I 0.338 0.000 0.725
I2 I 0.497 0.000 0.275
# Formation energy (no corrections) ... -1.412 eV per atom
# Volume ... 41.31 Å³ per atom